First-principles (SCAN) data for a crystal of MgCd2Pt relaxed with PBEsol, as listed in Alexandria.

Summary:
Energy, eV per cell: -137.272
Magnetization, μB per formula unit: 0.00
Space group: Pmmm, No. 47

Lattice parameters (Å, degrees): 3.1027 3.9820 5.8202 90.00 90.00 90.00
Closest atoms and distances in Å follow each position.
Fractional coordinates of all 4 atoms:
Cd1 0.0000 0.0000 0.7407  4 Cd 2.80-3.10, 4 Pt 2.89, 4 Mg 2.94
Cd2 0.0000 0.0000 0.2593  4 Cd 2.80-3.10, 4 Pt 2.89, 4 Mg 2.94
Mg1 0.5000 0.5000 0.0000  2 Pt 2.91, 8 Cd 2.94, 2 Mg 3.10
Pt1 0.5000 0.5000 0.5000  8 Cd 2.89, 2 Mg 2.91, 2 Pt 3.10